SrLaAs at its PBEsol-relaxed geometry, computed with SCAN.

- energy relative to the elements (eV/atom) = 0.04
- V (Å³/cell) = 89.5
- total magnetic moment (μB per formula unit) = 0.0
- space-group type = No. 216

Cell: 5.0203 5.0203 5.0203 Å, 60.00 60.00 60.00°
Fractional coordinates of all 3 atoms:
Sr1 0.2500 0.2500 0.2500
As1 0.0000 0.0000 0.0000
La1 0.5000 0.5000 0.5000